(1)
VASP calculation (PBEsol) on an optimized crystal structure of ScCd3Ge.

- Space group: Pm-3m, No. 221
- ρ: 5.03 g cm⁻³
- DOS at the Fermi energy: 4.21 states/eV per cell
- Total energy: -2.07 eV per atom

Geometry as POSCAR:
```
ScCd3Ge
1.0
5.3153 0.0000 0.0000
0.0000 5.3153 0.0000
0.0000 0.0000 5.3153
Sc Cd Ge
1 3 1
direct
0.0000 0.0000 0.0000
0.0000 0.0000 0.5000
0.0000 0.5000 0.0000
0.5000 0.0000 0.0000
0.5000 0.5000 0.5000
```

(2)
VASP calculation (PBEsol) on an optimized crystal structure of Sc3CdGe.

- Space group: Pm-3m, No. 221
- ρ: 4.22 g cm⁻³
- DOS at the Fermi energy: 10.56 states/eV per cell
- Total energy: -5.31 eV per atom

Geometry as POSCAR:
```
Sc3CdGe
1.0
5.0105 0.0000 0.0000
0.0000 5.0105 0.0000
0.0000 0.0000 5.0105
Sc Cd Ge
3 1 1
direct
0.0000 0.0000 0.5000
0.0000 0.5000 0.0000
0.5000 0.0000 0.0000
0.5000 0.5000 0.5000
0.0000 0.0000 0.0000
```

(3)
VASP calculation (PBEsol) on an optimized crystal structure of ScCdGe3.

- Space group: Pm-3m, No. 221
- ρ: 4.78 g cm⁻³
- DOS at the Fermi energy: 3.92 states/eV per cell
- Total energy: -3.99 eV per atom

Geometry as POSCAR:
```
ScCdGe3
1.0
5.0721 0.0000 0.0000
0.0000 5.0721 0.0000
0.0000 0.0000 5.0721
Sc Cd Ge
1 1 3
direct
0.0000 0.0000 0.0000
0.5000 0.5000 0.5000
0.0000 0.0000 0.5000
0.0000 0.5000 0.0000
0.5000 0.0000 0.0000
```

(4)
VASP calculation (PBEsol) on an optimized crystal structure of Cd4GeSe6.

- Space group: Cc, No. 9
- ρ: 5.79 g cm⁻³
- Total energy: -3.45 eV per atom

Geometry as POSCAR:
```
Cd4GeSe6
1.0
6.3975 -3.7006 0.0000
6.3975 3.7006 0.0000
-4.3355 0.0000 12.0563
Cd Ge Se
8 2 12
direct
0.0772 0.9228 0.5000
0.0795 0.2962 0.8084
0.1714 0.5682 0.1589
0.2962 0.0795 0.3084
0.5531 0.7666 0.9926
0.5682 0.1714 0.6589
0.7666 0.5531 0.4926
0.9228 0.0772 0.0000
0.1675 0.7047 0.7450
0.7047 0.1675 0.2450
0.1436 0.5693 0.5540
0.2816 0.8277 0.1144
0.3733 0.8854 0.7930
0.3828 0.4095 0.8350
0.4095 0.3828 0.3350
0.4323 0.9277 0.4942
0.5693 0.1436 0.0540
0.8277 0.2816 0.6144
0.8342 0.8750 0.7958
0.8750 0.8342 0.2958
0.8854 0.3733 0.2930
0.9277 0.4323 0.9942
```